The following is a PBE-GGA calculation of NdAlGePt2 after structural relaxation, from OQMD via LeMat-Bulk.

Unit cell a=4.3055 b=4.3055 c=10.4039 alpha=90.00 beta=90.00 gamma=90.00
Fractional positions:
Nd  0.2500  0.2500  0.2490
Nd  0.7500  0.7500  0.7510
Al  0.2500  0.7500  0.5000
Al  0.7500  0.2500  0.5000
Ge  0.2500  0.2500  0.8666
Ge  0.7500  0.7500  0.1334
Pt  0.2500  0.2500  0.6298
Pt  0.2500  0.7500  0.0000
Pt  0.7500  0.2500  0.0000
Pt  0.7500  0.7500  0.3702

Summary:
Calculated density (g/cm³): 10.92
Uncorrected energy (eV per atom): -6.08
Symmetry: P4/nmm, No. 129

***

The following is a PBE-GGA calculation of ErHfSb after structural relaxation, from OQMD via LeMat-Bulk.

Unit cell a=6.8721 b=6.8721 c=6.8721 alpha=90.00 beta=90.00 gamma=90.00
Fractional positions:
Er  0.0000  0.0000  0.0000
Er  0.0000  0.5000  0.5000
Er  0.5000  0.0000  0.5000
Er  0.5000  0.5000  0.0000
Hf  0.0000  0.0000  0.5000
Hf  0.0000  0.5000  0.0000
Hf  0.5000  0.0000  0.0000
Hf  0.5000  0.5000  0.5000
Sb  0.2500  0.2500  0.2500
Sb  0.2500  0.7500  0.7500
Sb  0.7500  0.2500  0.7500
Sb  0.7500  0.7500  0.2500

Summary:
Calculated density (g/cm³): 9.57
Uncorrected energy (eV per atom): -6.33
Symmetry: F-43m, No. 216

***

The following is a PBE-GGA calculation of Li4Tl2HgPt after structural relaxation, from OQMD via LeMat-Bulk.

Unit cell a=4.6527 b=4.6527 c=6.7176 alpha=90.00 beta=90.00 gamma=90.00
Fractional positions:
Li  0.0000  0.0000  0.0000
Li  0.0000  0.5000  0.2352
Li  0.5000  0.0000  0.7648
Li  0.5000  0.5000  0.5000
Tl  0.0000  0.5000  0.7713
Tl  0.5000  0.0000  0.2287
Hg  0.0000  0.0000  0.5000
Pt  0.5000  0.5000  0.0000

Summary:
Calculated density (g/cm³): 9.50
Uncorrected energy (eV per atom): -2.66
Symmetry: P-4m2, No. 115

***

The following is a PBE-GGA calculation of TmSnAu after structural relaxation, from OQMD via LeMat-Bulk.

Unit cell a=4.6733 b=4.6733 c=7.3682 alpha=90.00 beta=90.00 gamma=120.00
Fractional positions:
Tm  0.0000  0.0000  0.0000
Tm  0.0000  0.0000  0.5000
Sn  0.3333  0.6667  0.2273
Sn  0.6667  0.3333  0.7273
Au  0.3333  0.6667  0.8329
Au  0.6667  0.3333  0.3329

Summary:
Calculated density (g/cm³): 11.55
Uncorrected energy (eV per atom): -4.70
Symmetry: P6_3mc, No. 186

***

The following is a PBE-GGA calculation of UFeGe after structural relaxation, from OQMD via LeMat-Bulk.

Unit cell a=6.3806 b=6.3806 c=6.3806 alpha=90.00 beta=90.00 gamma=90.00
Fractional positions:
U  0.0000  0.0000  0.0000
U  0.0000  0.5000  0.5000
U  0.5000  0.0000  0.5000
U  0.5000  0.5000  0.0000
Fe  0.2500  0.2500  0.7500
Fe  0.2500  0.7500  0.2500
Fe  0.7500  0.2500  0.2500
Fe  0.7500  0.7500  0.7500
Ge  0.2500  0.2500  0.2500
Ge  0.2500  0.7500  0.7500
Ge  0.7500  0.2500  0.7500
Ge  0.7500  0.7500  0.2500

Summary:
Calculated density (g/cm³): 9.37
Uncorrected energy (eV per atom): -7.34
Symmetry: F-43m, No. 216

***

The following is a PBE-GGA calculation of NaTmCdSe3 after structural relaxation, from OQMD via LeMat-Bulk.

Unit cell a=7.2275 b=7.2275 c=10.9887 alpha=90.00 beta=90.00 gamma=146.95
Fractional positions:
Na  0.2454  0.7546  0.7500
Na  0.7546  0.2454  0.2500
Tm  0.0000  0.0000  0.0000
Tm  0.0000  0.0000  0.5000
Cd  0.4658  0.5342  0.2500
Cd  0.5342  0.4658  0.7500
Se  0.0874  0.9126  0.2500
Se  0.3627  0.6373  0.0528
Se  0.3627  0.6373  0.4472
Se  0.6373  0.3627  0.5528
Se  0.6373  0.3627  0.9472
Se  0.9126  0.0874  0.7500

Summary:
Calculated density (g/cm³): 5.74
Energy relative to the lowest polymorph listed for this composition (eV/atom): 0.0236
Uncorrected energy (eV per atom): -4.08
Symmetry: Cmcm, No. 63

***

The following is a PBE-GGA calculation of RbLiMoPt after structural relaxation, from OQMD via LeMat-Bulk.

Unit cell a=7.1159 b=7.1159 c=7.1159 alpha=90.00 beta=90.00 gamma=90.00
Fractional positions:
Rb  0.0000  0.0000  0.0000
Rb  0.0000  0.5000  0.5000
Rb  0.5000  0.0000  0.5000
Rb  0.5000  0.5000  0.0000
Li  0.0000  0.0000  0.5000
Li  0.0000  0.5000  0.0000
Li  0.5000  0.0000  0.0000
Li  0.5000  0.5000  0.5000
Mo  0.2500  0.2500  0.7500
Mo  0.2500  0.7500  0.2500
Mo  0.7500  0.2500  0.2500
Mo  0.7500  0.7500  0.7500
Pt  0.2500  0.2500  0.2500
Pt  0.2500  0.7500  0.7500
Pt  0.7500  0.2500  0.7500
Pt  0.7500  0.7500  0.2500

Summary:
Calculated density (g/cm³): 7.07
Energy relative to the lowest polymorph listed for this composition (eV/atom): 0.3640
Uncorrected energy (eV per atom): -3.68
Symmetry: F-43m, No. 216

***

The following is a PBE-GGA calculation of Hf4BiB3 after structural relaxation, from OQMD via LeMat-Bulk.

Unit cell a=3.4563 b=3.4563 c=25.9346 alpha=90.00 beta=90.00 gamma=120.00
Fractional positions:
Hf  0.0000  0.0000  0.1550
Hf  0.0000  0.0000  0.3450
Hf  0.0000  0.0000  0.6550
Hf  0.0000  0.0000  0.8450
Hf  0.3333  0.6667  0.0548
Hf  0.3333  0.6667  0.4452
Hf  0.6667  0.3333  0.5548
Hf  0.6667  0.3333  0.9452
Bi  0.3333  0.6667  0.2500
Bi  0.6667  0.3333  0.7500
B  0.0000  0.0000  0.0000
B  0.0000  0.0000  0.5000
B  0.3333  0.6667  0.6095
B  0.3333  0.6667  0.8905
B  0.6667  0.3333  0.1095
B  0.6667  0.3333  0.3905

Summary:
Calculated density (g/cm³): 11.83
Uncorrected energy (eV per atom): -8.47
Symmetry: P6_3/mmc, No. 194

***

The following is a PBE-GGA calculation of PrHfTe after structural relaxation, from OQMD via LeMat-Bulk.

Unit cell a=7.4742 b=7.4742 c=7.4742 alpha=90.00 beta=90.00 gamma=90.00
Fractional positions:
Pr  0.0000  0.0000  0.0000
Pr  0.0000  0.5000  0.5000
Pr  0.5000  0.0000  0.5000
Pr  0.5000  0.5000  0.0000
Hf  0.2500  0.2500  0.7500
Hf  0.2500  0.7500  0.2500
Hf  0.7500  0.2500  0.2500
Hf  0.7500  0.7500  0.7500
Te  0.2500  0.2500  0.2500
Te  0.2500  0.7500  0.7500
Te  0.7500  0.2500  0.7500
Te  0.7500  0.7500  0.2500

Summary:
Calculated density (g/cm³): 7.11
Energy relative to the lowest polymorph listed for this composition (eV/atom): 0.6300
Uncorrected energy (eV per atom): -5.41
Symmetry: F-43m, No. 216

***

The following is a PBE-GGA calculation of Cu19Ag21 after structural relaxation, from OQMD via LeMat-Bulk.

Unit cell a=5.5878 b=10.6667 c=11.4126 alpha=65.94 beta=76.12 gamma=82.62
Fractional positions:
Cu  0.0000  0.0000  0.0000
Cu  0.0147  0.5785  0.1668
Cu  0.0337  0.1963  0.3062
Cu  0.0937  0.3816  0.6042
Cu  0.1572  0.1872  0.0577
Cu  0.1975  0.3820  0.3661
Cu  0.2624  0.5869  0.6572
Cu  0.2929  0.1910  0.7960
Cu  0.3148  0.7924  0.9559
Cu  0.4147  0.2014  0.5553
Cu  0.6237  0.0056  0.7453
Cu  0.7433  0.3866  0.3564
Cu  0.7848  0.5836  0.6511
Cu  0.8059  0.1873  0.7964
Cu  0.8526  0.3851  0.1102
Cu  0.8747  0.9971  0.2531
Cu  0.9004  0.5764  0.4053
Cu  0.9226  0.1979  0.5520
Cu  0.9476  0.7860  0.7038
Ag  0.0644  0.7828  0.4602
Ag  0.1232  0.9969  0.7557
Ag  0.1407  0.5905  0.9093
Ag  0.1886  0.7894  0.1992
Ag  0.2400  0.9992  0.5064
Ag  0.3256  0.3811  0.1122
Ag  0.3576  0.9989  0.2536
Ag  0.3869  0.5749  0.4106
Ag  0.4512  0.7884  0.7082
Ag  0.4698  0.3807  0.8529
Ag  0.4866  0.0027  0.9890
Ag  0.5236  0.5772  0.1596
Ag  0.5494  0.2024  0.3090
Ag  0.5736  0.7808  0.4586
Ag  0.6054  0.3856  0.6044
Ag  0.6505  0.5846  0.9039
Ag  0.6844  0.1873  0.0555
Ag  0.6989  0.7931  0.2033
Ag  0.7474  0.9984  0.5078
Ag  0.8177  0.7966  0.9501
Ag  0.9794  0.3836  0.8461

Summary:
Calculated density (g/cm³): 9.57
Formation energy (eV per formula unit): 3.820
Uncorrected energy (eV per atom): -3.15
Symmetry: P1, No. 1

***

The following is a PBE-GGA calculation of Cu2Se after structural relaxation, from OQMD via LeMat-Bulk.

Unit cell a=5.2290 b=5.2290 c=5.2290 alpha=90.00 beta=90.00 gamma=90.00
Fractional positions:
Cu  0.0000  0.0000  0.0000
Cu  0.0000  0.5000  0.5000
Cu  0.5000  0.0000  0.5000
Cu  0.5000  0.5000  0.0000
Se  0.2500  0.2500  0.2500
Se  0.7500  0.7500  0.7500

Summary:
Calculated density (g/cm³): 4.79
Uncorrected energy (eV per atom): -3.58
Symmetry: Pn-3m, No. 224

***

The following is a PBE-GGA calculation of ErMg6Ag after structural relaxation, from OQMD via LeMat-Bulk.

Unit cell a=6.4769 b=6.4769 c=5.0525 alpha=90.00 beta=90.00 gamma=120.00
Fractional positions:
Er  0.0000  0.0000  0.0000
Mg  0.0008  0.5004  0.0000
Mg  0.1692  0.3384  0.5000
Mg  0.1692  0.8308  0.5000
Mg  0.4996  0.5004  0.0000
Mg  0.4996  0.9992  0.0000
Mg  0.6616  0.8308  0.5000
Ag  0.6667  0.3333  0.5000

Summary:
Calculated density (g/cm³): 3.81
Uncorrected energy (eV per atom): -2.09
Symmetry: P-6m2, No. 187

***

The following is a PBE-GGA calculation of NaZrAgTe3 after structural relaxation, from OQMD via LeMat-Bulk.

Unit cell a=14.3649 b=4.1576 c=11.3321 alpha=90.00 beta=90.00 gamma=90.00
Fractional positions:
Na  0.2230  0.2500  0.0568
Na  0.2770  0.7500  0.5568
Na  0.7230  0.2500  0.4432
Na  0.7770  0.7500  0.9432
Zr  0.0107  0.2500  0.3185
Zr  0.4893  0.7500  0.8185
Zr  0.5107  0.2500  0.1815
Zr  0.9893  0.7500  0.6815
Ag  0.0132  0.7500  0.0926
Ag  0.4868  0.2500  0.5926
Ag  0.5132  0.7500  0.4074
Ag  0.9868  0.2500  0.9074
Te  0.1017  0.2500  0.5610
Te  0.1201  0.7500  0.8700
Te  0.1498  0.7500  0.2671
Te  0.3502  0.2500  0.7671
Te  0.3799  0.2500  0.3700
Te  0.3983  0.7500  0.0610
Te  0.6017  0.2500  0.9390
Te  0.6201  0.7500  0.6300
Te  0.6498  0.7500  0.2329
Te  0.8502  0.2500  0.7329
Te  0.8799  0.2500  0.1300
Te  0.8983  0.7500  0.4390

Summary:
Calculated density (g/cm³): 5.94
Energy relative to the lowest polymorph listed for this composition (eV/atom): 0.0000
Uncorrected energy (eV per atom): -4.41
Symmetry: Pnma, No. 62

***

The following is a PBE-GGA calculation of NbGa2C after structural relaxation, from OQMD via LeMat-Bulk.

Unit cell a=3.0388 b=3.0388 c=14.2570 alpha=90.00 beta=90.00 gamma=120.00
Fractional positions:
Nb  0.3333  0.6667  0.2500
Nb  0.6667  0.3333  0.7500
Ga  0.3333  0.6667  0.5868
Ga  0.3333  0.6667  0.9132
Ga  0.6667  0.3333  0.0868
Ga  0.6667  0.3333  0.4132
C  0.0000  0.0000  0.0000
C  0.0000  0.0000  0.5000

Summary:
Calculated density (g/cm³): 7.12
Uncorrected energy (eV per atom): -5.73
Symmetry: P6_3/mmc, No. 194

***

The following is a PBE-GGA calculation of ZrBeSi after structural relaxation, from OQMD via LeMat-Bulk.

Unit cell a=6.5287 b=6.5287 c=3.6568 alpha=90.00 beta=90.00 gamma=120.00
Fractional positions:
Zr  0.0000  0.6074  0.0000
Zr  0.3926  0.3926  0.0000
Zr  0.6074  0.0000  0.0000
Be  0.0000  0.2574  0.5000
Be  0.2574  0.0000  0.5000
Be  0.7426  0.7426  0.5000
Si  0.0000  0.0000  0.0000
Si  0.3333  0.6667  0.5000
Si  0.6667  0.3333  0.5000

Summary:
Calculated density (g/cm³): 4.74
Energy relative to the lowest polymorph listed for this composition (eV/atom): 0.2701
Uncorrected energy (eV per atom): -6.38
Symmetry: P-62m, No. 189

***

The following is a PBE-GGA calculation of ZrZn2 after structural relaxation, from OQMD via LeMat-Bulk.

Unit cell a=3.1213 b=14.3095 c=4.6272 alpha=90.00 beta=90.00 gamma=90.00
Fractional positions:
Zr  0.0000  0.0700  0.2500
Zr  0.0000  0.9300  0.7500
Zr  0.5000  0.4300  0.7500
Zr  0.5000  0.5700  0.2500
Zn  0.0000  0.2604  0.7500
Zn  0.0000  0.3886  0.2500
Zn  0.0000  0.6114  0.7500
Zn  0.0000  0.7396  0.2500
Zn  0.5000  0.1114  0.7500
Zn  0.5000  0.2396  0.2500
Zn  0.5000  0.7604  0.7500
Zn  0.5000  0.8886  0.2500

Summary:
Calculated density (g/cm³): 7.14
Formation energy (eV per formula unit): -0.393
Uncorrected energy (eV per atom): -3.82
Symmetry: Cmcm, No. 63

***

The following is a PBE-GGA calculation of CsFeB4 after structural relaxation, from OQMD via LeMat-Bulk.

Unit cell a=2.8848 b=5.6317 c=9.8340 alpha=90.00 beta=90.00 gamma=90.00
Fractional positions:
Cs  0.0000  0.0000  0.0000
Cs  0.5000  0.5000  0.5000
Fe  0.0000  0.0000  0.5000
Fe  0.5000  0.5000  0.0000
B  0.0000  0.3509  0.2375
B  0.0000  0.3509  0.7625
B  0.0000  0.6491  0.2375
B  0.0000  0.6491  0.7625
B  0.5000  0.1491  0.2625
B  0.5000  0.1491  0.7375
B  0.5000  0.8509  0.2625
B  0.5000  0.8509  0.7375

Summary:
Calculated density (g/cm³): 4.82
Energy relative to the lowest polymorph listed for this composition (eV/atom): 0.7328
Uncorrected energy (eV per atom): -4.89
Symmetry: Immm, No. 71

***

The following is a PBE-GGA calculation of Tb3In3NiAu2 after structural relaxation, from OQMD via LeMat-Bulk.

Unit cell a=7.7090 b=7.7090 c=3.9154 alpha=90.00 beta=90.00 gamma=120.00
Fractional positions:
Tb  0.0000  0.5939  0.0000
Tb  0.4061  0.4061  0.0000
Tb  0.5939  0.0000  0.0000
In  0.0000  0.2434  0.5000
In  0.2434  0.0000  0.5000
In  0.7566  0.7566  0.5000
Ni  0.0000  0.0000  0.0000
Au  0.3333  0.6667  0.5000
Au  0.6667  0.3333  0.5000

Summary:
Calculated density (g/cm³): 10.50
Uncorrected energy (eV per atom): -4.50
Symmetry: P-62m, No. 189

***

The following is a PBE-GGA calculation of NaAgW after structural relaxation, from OQMD via LeMat-Bulk.

Unit cell a=6.6511 b=6.6511 c=6.6511 alpha=90.00 beta=90.00 gamma=90.00
Fractional positions:
Na  0.0000  0.0000  0.0000
Na  0.0000  0.5000  0.5000
Na  0.5000  0.0000  0.5000
Na  0.5000  0.5000  0.0000
Ag  0.0000  0.0000  0.5000
Ag  0.0000  0.5000  0.0000
Ag  0.5000  0.0000  0.0000
Ag  0.5000  0.5000  0.5000
W  0.2500  0.2500  0.7500
W  0.2500  0.7500  0.2500
W  0.7500  0.2500  0.2500
W  0.7500  0.7500  0.7500

Summary:
Calculated density (g/cm³): 7.10
Uncorrected energy (eV per atom): -3.75
Symmetry: F-43m, No. 216

***

The following is a PBE-GGA calculation of DyYAl4Pd2 after structural relaxation, from OQMD via LeMat-Bulk.

Unit cell a=6.9458 b=4.3013 c=10.2132 alpha=90.00 beta=90.00 gamma=90.00
Fractional positions:
Dy  0.0000  0.0000  0.0000
Dy  0.0000  0.5000  0.5000
Y  0.5000  0.0000  0.8557
Y  0.5000  0.5000  0.3557
Al  0.1965  0.0000  0.2864
Al  0.1965  0.5000  0.7864
Al  0.3033  0.0000  0.5694
Al  0.3033  0.5000  0.0694
Al  0.6967  0.0000  0.5694
Al  0.6967  0.5000  0.0694
Al  0.8035  0.0000  0.2864
Al  0.8035  0.5000  0.7864
Pd  0.0000  0.0000  0.7180
Pd  0.0000  0.5000  0.2180
Pd  0.5000  0.0000  0.1381
Pd  0.5000  0.5000  0.6381

Summary:
Calculated density (g/cm³): 6.23
Uncorrected energy (eV per atom): -5.35
Symmetry: Amm2, No. 38